Entry 1:
This record from the Alexandria database describes a relaxed structure of Pm2NdHg. The functional is GGA-PBE.

Structure (CIF):
```
data_Pm2NdHg
_symmetry_space_group_name_H-M 'P 1'
_symmetry_Int_Tables_number 1
_symmetry_space_group_name_Hall 'P 1'
_cell_length_a 3.729
_cell_length_b 3.729
_cell_length_c 11.045
_cell_angle_alpha 80.28
_cell_angle_beta 80.28
_cell_angle_gamma 60.00
loop_
_atom_site_label
_atom_site_type_symbol
_atom_site_fract_x
_atom_site_fract_y
_atom_site_fract_z
Pm1 Pm 0.258 0.258 0.225
Pm2 Pm 0.075 0.075 0.775
Nd1 Nd 0.500 0.500 0.500
Hg1 Hg 0.667 0.667 0.000
```

Calculated values
* ΔE_f: -0.142 eV/atom
* DOS at the Fermi energy: 4.317 states/eV/cell
* symmetry: R3m, No. 160

---

Entry 2:
This record from the Alexandria database describes a relaxed structure of Pm2NdHg. The functional is GGA-PBE.

Structure (CIF):
```
data_Pm2NdHg
_symmetry_space_group_name_H-M 'P 1'
_symmetry_Int_Tables_number 1
_symmetry_space_group_name_Hall 'P 1'
_cell_length_a 4.925
_cell_length_b 4.931
_cell_length_c 4.931
_cell_angle_alpha 90.00
_cell_angle_beta 90.00
_cell_angle_gamma 90.00
loop_
_atom_site_label
_atom_site_type_symbol
_atom_site_fract_x
_atom_site_fract_y
_atom_site_fract_z
Pm1 Pm 0.000 0.500 0.000
Pm2 Pm 0.000 0.000 0.500
Nd1 Nd 0.500 0.500 0.500
Hg1 Hg 0.500 0.000 0.000
```

Calculated values
* ΔE_f: -0.171 eV/atom
* DOS at the Fermi energy: 5.722 states/eV/cell
* symmetry: P4/mmm, No. 123